Entry 1:
Material: FeAsOs2
Method: DFT, PBE-GGA
State: optimized geometry

E_form (kcal/mol of atoms): 7.529
E (Ry/atom): -0.630
Volume (Å³ per atom): 14.16
Density of states at the Fermi level (states/eV/cell): 3.53
Calculated density (g/cm3): 15.0

a = 4.6528 Å, b = 4.6528 Å, c = 4.5540 Å
α = 84.47°, β = 84.47°, γ = 35.27°
Last column: nearest neighbours and their distance in Å.
Element x y z (fractional)
Fe 0.7500 0.7500 0.7500  6 Os 2.59-2.74, 4 As 2.68, 2 Fe 2.82
As 0.2500 0.2500 0.2500  2 Os 2.46, 4 Fe 2.68
Os 0.0233 0.0233 0.9812  1 As 2.46, 3 Fe 2.59-2.74, 2 Os 2.60
Os 0.4767 0.4767 0.5188  1 As 2.46, 3 Fe 2.59-2.74, 2 Os 2.60


Entry 2:
Material: FeAsOs2
Method: DFT, PBE-GGA
State: optimized geometry

E_form (kcal/mol of atoms): 9.155
E (Ry/atom): -0.624
Volume (Å³ per atom): 14.20
Density of states at the Fermi level (states/eV/cell): 4.95
Calculated density (g/cm3): 15.0

a = 8.3552 Å, b = 8.3552 Å, c = 8.3552 Å
α = 19.49°, β = 19.49°, γ = 19.49°
Last column: nearest neighbours and their distance in Å.
Element x y z (fractional)
Os 0.5009 0.5009 0.5009  3 Fe 2.60, 3 As 2.64, 6 Os 2.83
Os 0.9991 0.9991 0.9991  3 Fe 2.60, 3 As 2.64, 6 Os 2.83
As 0.7500 0.7500 0.7500  6 Os 2.64, 6 As 2.83
Fe 0.2500 0.2500 0.2500  6 Os 2.60, 6 Fe 2.83


Entry 3:
Material: FeAsOs2
Method: DFT, PBE-GGA
State: optimized geometry

E_form (kcal/mol of atoms): 8.105
E (Ry/atom): -0.628
Volume (Å³ per atom): 13.93
Density of states at the Fermi level (states/eV/cell): 4.42
Calculated density (g/cm3): 15.2

a = 3.0216 Å, b = 3.0216 Å, c = 6.1036 Å
α = 90.00°, β = 90.00°, γ = 90.00°
Last column: nearest neighbours and their distance in Å.
Element x y z (fractional)
Fe 0.5000 0.5000 0.7500  8 Os 2.61
Os 0.0000 0.0000 0.5037  4 Fe 2.61, 4 As 2.64
Os 0.0000 0.0000 0.9963  4 Fe 2.61, 4 As 2.64
As 0.5000 0.5000 0.2500  8 Os 2.64


Entry 4:
Material: FeAsOs2
Method: DFT, PBE-GGA
State: optimized geometry

E_form (kcal/mol of atoms): 6.583
E (Ry/atom): -0.633
Volume (Å³ per atom): 13.98
Density of states at the Fermi level (states/eV/cell): 4.08
Calculated density (g/cm3): 15.2

a = 8.4351 Å, b = 8.4351 Å, c = 8.4351 Å
α = 19.06°, β = 19.06°, γ = 19.06°
Last column: nearest neighbours and their distance in Å.
Element x y z (fractional)
Os 0.7514 0.7514 0.7514  3 As 2.66, 9 Os 2.69-2.79
Os 0.9981 0.9981 0.9981  3 Fe 2.64, 9 Os 2.69-2.79
Fe 0.2474 0.2474 0.2474  3 As 2.51, 3 Os 2.64, 6 Fe 2.79
As 0.5032 0.5032 0.5032  3 Fe 2.51, 3 Os 2.66, 6 As 2.79


What is the formula in the fourth record?
FeAsOs2


What is the formula in the third record?
FeAsOs2